Entry 1:
The following is a DFT calculation (PBE-GGA) of a geometry-optimized Pr5Dy3Tm structure.

a b c (Å): 9.7439 9.7439 9.7439
angles (deg): 122.17 122.17 86.28
Closest atoms and distances in Å follow each position.
Fractional positions:
1 Pr 0.0000 0.0000 0.0000  6 Dy 3.56-3.82, 8 Pr 3.88
2 Pr 0.0687 0.5687 0.9034  1 Dy 3.15, 1 Tm 3.16
3 Pr 0.1653 0.0687 0.5000  1 Dy 3.15, 1 Tm 3.16
4 Pr 0.3347 0.8347 0.9034  1 Dy 3.15, 1 Tm 3.16
5 Pr 0.4313 0.3347 0.5000  1 Dy 3.15, 1 Tm 3.16
6 Pr 0.5000 0.5000 0.0000  6 Dy 3.56-3.82, 8 Pr 3.88
7 Pr 0.5687 0.6653 0.5000  1 Dy 3.15, 1 Tm 3.16
8 Pr 0.6653 0.1653 0.0966  1 Dy 3.15, 1 Tm 3.16
9 Pr 0.8347 0.9313 0.5000  1 Dy 3.15, 1 Tm 3.16
10 Pr 0.9313 0.4313 0.0966  1 Dy 3.15, 1 Tm 3.16
11 Dy 0.1090 0.3910 0.5000  1 Dy 2.90, 2 Pr 3.15
12 Dy 0.2500 0.2500 0.0000  10 Pr 3.56-3.78
13 Dy 0.3910 0.8910 0.2820  1 Dy 2.90, 2 Pr 3.15
14 Dy 0.6090 0.1090 0.7180  1 Dy 2.90, 2 Pr 3.15
15 Dy 0.7500 0.7500 0.0000  10 Pr 3.56-3.78
16 Dy 0.8910 0.6090 0.5000  1 Dy 2.90, 2 Pr 3.15
17 Tm 0.2500 0.7500 0.5000  4 Pr 3.16
18 Tm 0.7500 0.2500 0.5000  4 Pr 3.16

Output
calculated volume = 631.24 Å³/cell
space group = I4/mcm (140)
ΔE_f = 0.31 eV per atom
spin magnetization = 0.000 μB per atom
mass density = 7.160 g/cm3
offset from the most stable computed form = 46 meV/atom

***

Entry 2:
The following is a DFT calculation (PBE-GGA) of a geometry-optimized YInRu structure.

a b c (Å): 4.6406 4.6406 3.5376
angles (deg): 90.00 90.00 120.00
Closest atoms and distances in Å follow each position.
Fractional positions:
1 Y 0.0000 0.0000 0.0000  6 In 3.21, 6 Ru 3.21, 2 Y 3.54
2 In 0.6667 0.3333 0.5000  3 Ru 2.68
3 Ru 0.3333 0.6667 0.5000  3 In 2.68

Output
calculated volume = 65.98 Å³/cell
space group = P-6m2 (187)
ΔE_f = -0.19 eV per atom
spin magnetization = 0.000 μB per atom
mass density = 7.671 g/cm3

***

Entry 3:
The following is a DFT calculation (PBE-GGA) of a geometry-optimized YSbRh2 structure.

a b c (Å): 5.4365 5.4365 5.4365
angles (deg): 136.57 136.57 63.10
Closest atoms and distances in Å follow each position.
Fractional positions:
1 Y 0.0000 0.0000 0.0000  8 Rh 2.84-3.07, 4 Sb 3.07
2 Sb 0.7500 0.2500 0.5000  8 Rh 2.84-3.07, 4 Y 3.07
3 Rh 0.2500 0.7500 0.5000  4 Sb 2.84, 4 Rh 3.07, 4 Y 3.07
4 Rh 0.5000 0.5000 0.0000  4 Y 2.84, 4 Sb 3.07, 4 Rh 3.07

Output
calculated volume = 74.98 Å³/cell
space group = I-4m2 (119)
spin magnetization = 0.000 μB per atom
mass density = 9.223 g/cm3
E_form (uncorrected) = -0.6425 eV per atom

***

Entry 4:
The following is a DFT calculation (PBE-GGA) of a geometry-optimized TiCrH3 structure.

a b c (Å): 3.2985 3.2985 3.2985
angles (deg): 90.00 90.00 90.00
Closest atoms and distances in Å follow each position.
Fractional positions:
1 Ti 0.0000 0.0000 0.0000  12 H 2.33
2 Cr 0.5000 0.5000 0.5000  6 H 1.65
3 H 0.0000 0.5000 0.5000  2 Cr 1.65
4 H 0.5000 0.0000 0.5000  2 Cr 1.65
5 H 0.5000 0.5000 0.0000  2 Cr 1.65

Output
calculated volume = 35.89 Å³/cell
space group = Pm-3m (221)
spin magnetization = 0.200 μB per atom
mass density = 4.761 g/cm3
offset from the most stable computed form = 141 meV/atom

***

Entry 5:
The following is a DFT calculation (PBE-GGA) of a geometry-optimized LiCr4Pb structure.

a b c (Å): 4.9492 4.9492 4.9492
angles (deg): 60.00 60.00 60.00
Closest atoms and distances in Å follow each position.
Fractional positions:
1 Li 0.0000 0.0000 0.0000  12 Cr 2.89, 4 Pb 3.03
2 Cr 0.3702 0.3702 0.3702  6 Cr 2.38-2.57
3 Cr 0.3702 0.3702 0.8894  6 Cr 2.38-2.57
4 Cr 0.3702 0.8894 0.3702  6 Cr 2.38-2.57
5 Cr 0.8894 0.3702 0.3702  6 Cr 2.38-2.57
6 Pb 0.7500 0.7500 0.7500  12 Cr 2.91, 4 Li 3.03

Output
calculated volume = 85.72 Å³/cell
space group = F-43m (216)
ΔE_f = 0.55 eV per atom
spin magnetization = 0.000 μB per atom
mass density = 8.177 g/cm3

***

Entry 6:
The following is a DFT calculation (PBE-GGA) of a geometry-optimized AcDyTl structure.

a b c (Å): 5.4373 5.4373 4.0442
angles (deg): 90.00 90.00 120.00
Closest atoms and distances in Å follow each position.
Fractional positions:
1 Ac 0.0000 0.0000 0.0000  6 Tl 3.73-3.74, 6 Dy 3.73-3.74, 2 Ac 4.04
2 Dy 0.3333 0.6667 0.5010  3 Tl 3.14
3 Tl 0.6667 0.3333 0.4973  3 Dy 3.14

Output
calculated volume = 103.55 Å³/cell
space group = P3m1 (156)
ΔE_f = -0.16 eV per atom
spin magnetization = 0.000 μB per atom
mass density = 9.524 g/cm3
offset from the most stable computed form = 97 meV/atom

***

Entry 7:
The following is a DFT calculation (PBE-GGA) of a geometry-optimized ScGaBr structure.

a b c (Å): 7.3033 7.3033 7.3033
angles (deg): 27.58 27.58 27.58
Closest atoms and distances in Å follow each position.
Fractional positions:
1 Sc 0.0000 0.0000 0.0000  3 Br 2.72, 3 Ga 2.84
2 Ga 0.5717 0.5717 0.5717  3 Sc 2.84
3 Br 0.4202 0.4202 0.4202  3 Sc 2.72

Output
calculated volume = 73.67 Å³/cell
space group = R3m (160)
spin magnetization = 0.000 μB per atom
mass density = 4.386 g/cm3
E_form (uncorrected) = -0.6597 eV per atom

***

Entry 8:
The following is a DFT calculation (PBE-GGA) of a geometry-optimized SbOs3 structure.

a b c (Å): 4.6956 4.6956 2.9033
angles (deg): 90.00 90.00 90.00
Closest atoms and distances in Å follow each position.
Fractional positions:
1 Sb 0.0000 0.0000 0.0000  8 Os 2.76, 2 Sb 2.90
2 Os 0.0000 0.5000 0.5000  4 Sb 2.76, 6 Os 2.76-2.90
3 Os 0.5000 0.0000 0.5000  4 Sb 2.76, 6 Os 2.76-2.90
4 Os 0.5000 0.5000 0.0000  10 Os 2.76-2.90

Output
calculated volume = 64.02 Å³/cell
space group = P4/mmm (123)
spin magnetization = 0.138 μB per atom
mass density = 17.962 g/cm3
E_form (uncorrected) = 0.7868 eV per atom

***

Entry 9:
The following is a DFT calculation (PBE-GGA) of a geometry-optimized K2InNi structure.

a b c (Å): 4.6056 6.6377 6.6377
angles (deg): 47.32 90.00 90.00
Closest atoms and distances in Å follow each position.
Fractional positions:
1 K 0.0000 0.0000 0.0000  3 Ni 3.47-3.85, 4 In 3.75
2 K 0.5000 0.2973 0.2973  3 In 3.54-3.74, 4 Ni 3.78
3 In 0.5000 0.6052 0.6052  2 Ni 2.49
4 Ni 0.0000 0.6832 0.6832  2 In 2.49

Output
calculated volume = 149.16 Å³/cell
space group = Amm2 (38)
ΔE_f = 0.22 eV per atom
spin magnetization = 0.000 μB per atom
mass density = 2.802 g/cm3

***

Entry 10:
The following is a DFT calculation (PBE-GGA) of a geometry-optimized TbGdHo structure.

a b c (Å): 3.5586 3.5586 8.6938
angles (deg): 90.00 90.00 120.00
Closest atoms and distances in Å follow each position.
Fractional positions:
1 Tb 0.0000 0.0000 0.0000  3 Ho 3.52, 6 Tb 3.56, 3 Gd 3.58
2 Gd 0.6667 0.3333 0.3371  6 Gd 3.56, 3 Ho 3.56, 3 Tb 3.58
3 Ho 0.3333 0.6667 0.6714  3 Tb 3.52, 6 Ho 3.56, 3 Gd 3.56

Output
calculated volume = 95.35 Å³/cell
space group = P3m1 (156)
ΔE_f = 0.02 eV per atom
spin magnetization = 2.430 μB per atom
mass density = 8.379 g/cm3

***

Entry 11:
The following is a DFT calculation (PBE-GGA) of a geometry-optimized ErBRh structure.

a b c (Å): 5.3758 5.3758 5.3758
angles (deg): 147.74 147.74 46.27
Closest atoms and distances in Å follow each position.
Fractional positions:
1 Er 0.0000 0.0000 0.0000  5 Rh 2.77-3.03, 5 B 2.84-3.05, 4 Er 2.99
2 B 0.6920 0.6920 0.0000  4 Rh 2.28
3 Rh 0.2797 0.2797 0.0000  4 B 2.28

Output
calculated volume = 44.10 Å³/cell
space group = I4mm (107)
ΔE_f = -0.29 eV per atom
spin magnetization = 0.000 μB per atom
mass density = 10.580 g/cm3
offset from the most stable computed form = 338 meV/atom

***

Entry 12:
The following is a DFT calculation (PBE-GGA) of a geometry-optimized Co2CuTc structure.

a b c (Å): 2.6037 4.3609 4.3841
angles (deg): 90.00 90.00 90.00
Closest atoms and distances in Å follow each position.
Fractional positions:
1 Co 0.0000 0.0000 0.0000  4 Tc 2.54, 6 Co 2.55-2.60
2 Co 0.5000 0.0000 0.5000  4 Cu 2.54, 6 Co 2.55-2.60
3 Cu 0.0000 0.5000 0.5000  4 Co 2.54, 4 Tc 2.55, 2 Cu 2.60
4 Tc 0.5000 0.5000 0.0000  4 Co 2.54, 4 Cu 2.55, 2 Tc 2.60

Output
calculated volume = 49.78 Å³/cell
space group = Pmmm (47)
ΔE_f = 0.33 eV per atom
spin magnetization = 0.986 μB per atom
mass density = 9.321 g/cm3
offset from the most stable computed form = 205 meV/atom